First-principles (PBE) data for RbAg4Sn6 after structural relaxation, as listed in the Alexandria database.

Lattice parameters (Å, degrees): 4.4951 8.5741 8.5741 120.00 90.00 90.00
Last column: nearest neighbours and their distance in Å.
Sites, in units of the cell vectors:
1 Ag 0.5000 0.7882 0.2118  6 Sn 2.96-3.06, 2 Ag 3.13
2 Ag 0.5000 0.4236 0.2118  6 Sn 2.96-3.06, 2 Ag 3.13
3 Ag 0.0000 0.3333 0.6667  9 Sn 2.92-3.00
4 Ag 0.5000 0.7882 0.5764  6 Sn 2.96-3.06, 2 Ag 3.13
5 Sn 0.5000 0.6017 0.8008  4 Ag 3.00-3.06
6 Sn 0.5000 0.1992 0.3983  4 Ag 3.00-3.06
7 Sn 0.0000 0.5297 0.0594  5 Ag 2.92-2.96
8 Sn 0.5000 0.1992 0.8008  4 Ag 3.00-3.06
9 Sn 0.0000 0.5297 0.4703  5 Ag 2.92-2.96
10 Sn 0.0000 0.9406 0.4703  5 Ag 2.92-2.96
11 Rb 0.0000 0.0000 0.0000  6 Sn 3.71, 6 Ag 3.87

First-principles (PBE) data for RbAg9Sn4 after structural relaxation, as listed in the Alexandria database.

Lattice parameters (Å, degrees): 9.5666 9.5666 9.6473 119.72 119.72 90.00
Last column: nearest neighbours and their distance in Å.
Sites, in units of the cell vectors:
1 Sn 0.1966 0.0612 0.7578  9 Ag 2.84-3.04
2 Sn 0.3034 0.8034 0.2422  9 Ag 2.84-3.04
3 Sn 0.8034 0.9388 0.2422  9 Ag 2.84-3.04
4 Sn 0.5612 0.6966 0.7578  9 Ag 2.84-3.04
5 Sn 0.6966 0.1966 0.7578  9 Ag 2.84-3.04
6 Sn 0.4388 0.3034 0.2422  9 Ag 2.84-3.04
7 Sn 0.0612 0.5612 0.7578  9 Ag 2.84-3.04
8 Sn 0.9388 0.4388 0.2422  9 Ag 2.84-3.04
9 Ag 0.9369 0.2053 0.6422  4 Sn 2.84-3.03, 6 Ag 2.92-3.13
10 Ag 0.5576 0.2966 0.0000  5 Ag 2.86-3.06, 4 Sn 3.00-3.04
11 Ag 0.0576 0.2034 0.0000  5 Ag 2.86-3.06, 4 Sn 3.00-3.04
12 Ag 0.7034 0.5576 0.0000  5 Ag 2.86-3.06, 4 Sn 3.00-3.04
13 Ag 0.0631 0.7947 0.3578  4 Sn 2.84-3.03, 6 Ag 2.92-3.13
14 Ag 0.5000 0.0000 0.0000  8 Ag 2.89-2.92, 4 Sn 2.98
15 Ag 0.4424 0.7034 0.0000  5 Ag 2.86-3.06, 4 Sn 3.00-3.04
16 Ag 0.7947 0.2947 0.3578  4 Sn 2.84-3.03, 6 Ag 2.92-3.13
17 Ag 0.7966 0.0576 0.0000  5 Ag 2.86-3.06, 4 Sn 3.00-3.04
18 Ag 0.2053 0.7053 0.6422  4 Sn 2.84-3.03, 6 Ag 2.92-3.13
19 Ag 0.4369 0.9369 0.6422  4 Sn 2.84-3.03, 6 Ag 2.92-3.13
20 Ag 0.9424 0.7966 0.0000  5 Ag 2.86-3.06, 4 Sn 3.00-3.04
21 Ag 0.2034 0.9424 0.0000  5 Ag 2.86-3.06, 4 Sn 3.00-3.04
22 Ag 0.5631 0.0631 0.3578  4 Sn 2.84-3.03, 6 Ag 2.92-3.13
23 Ag 0.7053 0.4369 0.6422  4 Sn 2.84-3.03, 6 Ag 2.92-3.13
24 Ag 0.2947 0.5631 0.3578  4 Sn 2.84-3.03, 6 Ag 2.92-3.13
25 Ag 0.2966 0.4424 0.0000  5 Ag 2.86-3.06, 4 Sn 3.00-3.04
26 Ag 0.0000 0.5000 0.0000  8 Ag 2.89-2.92, 4 Sn 2.98
27 Rb 0.7500 0.7500 0.5000  8 Sn 3.93, 16 Ag 3.96-3.99
28 Rb 0.2500 0.2500 0.5000  8 Sn 3.93, 16 Ag 3.96-3.99

First-principles (PBE) data for Rb2Ag3Sn5 after structural relaxation, as listed in the Alexandria database.

Lattice parameters (Å, degrees): 6.8453 9.8567 9.8567 77.19 69.68 69.68
Last column: nearest neighbours and their distance in Å.
Sites, in units of the cell vectors:
1 Rb 0.3726 0.8755 0.3792  10 Sn 3.66-3.92, 6 Ag 3.70-3.95
2 Rb 0.6274 0.1245 0.6208  10 Sn 3.66-3.92, 6 Ag 3.70-3.95
3 Rb 0.1274 0.6208 0.1245  10 Sn 3.66-3.92, 6 Ag 3.70-3.95
4 Rb 0.8726 0.3792 0.8755  10 Sn 3.66-3.92, 6 Ag 3.70-3.95
5 Ag 0.3735 0.4944 0.7586  5 Sn 2.85-2.94
6 Ag 0.8735 0.7586 0.4944  5 Sn 2.85-2.94
7 Ag 0.1265 0.2414 0.5056  5 Sn 2.85-2.94
8 Ag 0.2500 0.0000 0.0000  4 Sn 2.89
9 Ag 0.7500 0.0000 0.0000  4 Sn 2.89
10 Ag 0.6265 0.5056 0.2414  5 Sn 2.85-2.94
11 Sn 0.6171 0.7463 0.0195  3 Ag 2.85-2.89, 2 Sn 3.00
12 Sn 0.1171 0.0195 0.7463  3 Ag 2.85-2.89, 2 Sn 3.00
13 Sn 0.8829 0.9805 0.2537  3 Ag 2.85-2.89, 2 Sn 3.00
14 Sn 0.5018 0.2482 0.2482  2 Ag 2.93, 2 Sn 3.00
15 Sn 0.9982 0.7518 0.7518  2 Ag 2.93, 2 Sn 3.00
16 Sn 0.4982 0.7518 0.7518  2 Ag 2.93, 2 Sn 3.00
17 Sn 0.0018 0.2482 0.2482  2 Ag 2.93, 2 Sn 3.00
18 Sn 0.2500 0.5000 0.5000  4 Ag 2.94
19 Sn 0.3829 0.2537 0.9805  3 Ag 2.85-2.89, 2 Sn 3.00
20 Sn 0.7500 0.5000 0.5000  4 Ag 2.94

no.,formation enthalpy at 0 K (kJ per mole of atoms)
1,-3
2,-6
3,-11